Below is a geometry-optimized PmNbCrO6 structure, with properties calculated at the GGA+U level.

Values from the calculation:
The magnetization is 2.00 μB per formula unit. The calculated total energy comes out at -147.34 eV for the cell shown.

abc: 4.879 4.879 9.676
angles: 90.00 90.00 90.00
Space group P4_2nm (No. 102)
Asymmetric unit:
Pm  0.000  0.000  0.000 x2
Nb  0.000  0.000  0.340 x2
Cr  0.000  0.000  0.672 x2
O  0.172  0.172  0.510 x4
O  0.214  0.214  0.814 x4
O  0.220  0.220  0.195 x4